The following is a DFT calculation (PBE with a Hubbard U) of Be2Zn2MoO6 after structural relaxation.

Geometry as CIF:
```
data_Be2Zn2MoO6
_chemical_formula_sum 'Be2 Zn2 Mo1 O6'
_space_group_name_H-M_alt 'P -3'
_space_group_IT_number 147
_cell_length_a 5.1056
_cell_length_b 5.1056
_cell_length_c 6.2800
_cell_angle_alpha 90.00
_cell_angle_beta 90.00
_cell_angle_gamma 120.00
loop_
_space_group_symop_operation_xyz
'x,y,z'
'-x,-y,-z'
'-y,x-y,z'
'y,-x+y,-z'
'-x+y,-x,z'
'x-y,x,-z'
loop_
_atom_site_label
_atom_site_type_symbol
_atom_site_fract_x
_atom_site_fract_y
_atom_site_fract_z
Be1 Be 0.3333 0.6667 0.2911
Zn1 Zn 0.3333 0.6667 0.7327
Mo1 Mo 0.0000 0.0000 0.5000
O1 O 0.0471 0.6977 0.3016
```

Calculated values
Density of states at the Fermi level, states/eV per cell: 0.00
Electronic total energy, eV/atom: -6.0526